The following is a PBE-GGA calculation of a geometry-optimized ZnSbIO2 structure, from the Alexandria database.

Summary:
The formation energy without anion corrections comes out at 0.18 eV/atom. For the total magnetization, the calculation gives 0.00 μB/cell. The calculation puts the density of states at the Fermi level at 4.54 states/eV per cell. The space-group type is No. 123. The offset from the most stable computed form is 598.7 meV per atom.

Lattice parameters (Å, degrees): 4.2323 4.2323 5.1926 90.00 90.00 90.00
Sites, in units of the cell vectors:
Zn: 0.0000 0.0000 0.0000
O: 0.5000 0.0000 0.0000
O: 0.0000 0.5000 0.0000
Sb: 0.5000 0.5000 0.5000
I: 0.0000 0.0000 0.5000